## SrAc3Dy (GGA-PBE)

Data for a relaxed structure of SrAc3Dy.

Summary:
formation energy from the elements	0.10	eV/atom
calculated density	7.2	g/cm3
DFT total energy	-3.6205	eV/atom
Fermi-level density of states	17.04	states/eV/cell

Geometry as CIF:
```
data_SrAc3Dy
_chemical_formula_sum 'Sr2 Ac6 Dy2'
_cell_length_a 8.723
_cell_length_b 5.625
_cell_length_c 8.813
_cell_angle_alpha 90.00
_cell_angle_beta 90.65
_cell_angle_gamma 90.00
_symmetry_space_group_name_H-M 'P 1 21/m 1'
_symmetry_Int_Tables_number 11
loop_
_symmetry_equiv_pos_as_xyz
'x,y,z'
'-x,-y,-z'
'-x,y+1/2,-z'
'x,-y+1/2,z'
loop_
_atom_site_label
_atom_site_fract_x
_atom_site_fract_y
_atom_site_fract_z
Sr1 0.246 0.250 0.259
Ac1 0.148 0.750 0.946
Ac2 0.333 0.750 0.555
Ac3 0.438 0.250 0.846
Dy1 0.052 0.250 0.649
```